1.
First-principles (GGA-PBE) data for ErScCoIr after structural relaxation, as listed in Alexandria via LeMat-Bulk.

Calculated values
- Space-group type: F-43m, No. 216
- Final energy: -29.34 eV per cell
- Size of the total moment: 0.44 μB/f.u.
- Fermi-level density of states: 0.48 states/eV per atom
- ΔE_f: -619 meV per atom

a = 4.634 Å, b = 4.634 Å, c = 4.634 Å
α = 60.00°, β = 60.00°, γ = 60.00°
Element x y z (fractional)
Sc1 0.250 0.250 0.250
Ir1 0.000 0.000 0.000
Co1 0.500 0.500 0.500
Er1 0.750 0.750 0.750

=====

2.
First-principles (GGA-PBE) data for La3Nd2HoAs6 after structural relaxation, as listed in Alexandria via LeMat-Bulk.

Calculated values
- Space-group type: C2/m, No. 12
- Final energy: -75.24 eV per cell
- Size of the total moment: 0.00 μB/f.u.
- Fermi-level density of states: 0.12 states/eV per atom
- ΔE_f: -1537 meV per atom

a = 4.299 Å, b = 8.592 Å, c = 9.606 Å
α = 102.93°, β = 102.93°, γ = 90.00°
Element x y z (fractional)
La1 0.500 0.500 0.000
La2 0.833 0.166 0.666
La3 0.167 0.834 0.334
Nd1 0.834 0.668 0.669
Nd2 0.166 0.332 0.331
Ho1 0.500 0.000 0.000
As1 0.337 0.916 0.674
As2 0.668 0.581 0.335
As3 0.663 0.084 0.326
As4 0.000 0.240 0.001
As5 0.000 0.760 0.999
As6 0.332 0.419 0.665

=====

3.
First-principles (GGA-PBE) data for Ac2GeAsPt6 after structural relaxation, as listed in Alexandria via LeMat-Bulk.

Calculated values
- Space-group type: P-1, No. 2
- Final energy: -62.09 eV per cell
- Size of the total moment: 0.00 μB/f.u.
- Fermi-level density of states: 0.65 states/eV per atom
- ΔE_f: -836 meV per atom

a = 6.814 Å, b = 6.842 Å, c = 5.595 Å
α = 65.88°, β = 65.81°, γ = 84.05°
Element x y z (fractional)
Ac1 0.711 0.212 0.538
Ac2 0.289 0.788 0.462
Ge1 0.500 0.500 0.000
As1 0.000 0.000 0.000
Pt1 0.245 0.258 0.498
Pt2 0.755 0.742 0.001
Pt3 0.117 0.615 0.135
Pt4 0.883 0.385 0.865
Pt5 0.245 0.258 0.999
Pt6 0.755 0.742 0.502

=====

4.
First-principles (GGA-PBE) data for Pm2UAs3 after structural relaxation, as listed in Alexandria via LeMat-Bulk.

Calculated values
- Space-group type: I4/mmm, No. 139
- Final energy: -42.26 eV per cell
- Size of the total moment: 2.54 μB/f.u.
- Fermi-level density of states: 0.97 states/eV per atom
- ΔE_f: -1254 meV per atom

a = 9.339 Å, b = 9.339 Å, c = 9.339 Å
α = 154.09°, β = 154.09°, γ = 36.97°
Element x y z (fractional)
Pm1 0.668 0.668 0.000
Pm2 0.332 0.332 0.000
U1 0.000 0.000 0.000
As1 0.500 0.500 0.000
As2 0.837 0.837 0.000
As3 0.163 0.163 0.000

=====

5.
First-principles (GGA-PBE) data for KPbO2 after structural relaxation, as listed in Alexandria via LeMat-Bulk.

Calculated values
- Space-group type: P1, No. 1
- Final energy: -38.75 eV per cell
- Size of the total moment: 0.00 μB/f.u.
- Fermi-level density of states: 0.00 states/eV per atom
- Formation energy without anion corrections: -1.163 eV per atom

a = 6.287 Å, b = 6.595 Å, c = 5.770 Å
α = 67.07°, β = 61.51°, γ = 96.30°
Element x y z (fractional)
K1 0.587 0.846 0.555
K2 0.808 0.586 0.090
Pb1 0.354 0.129 0.991
Pb2 0.004 0.263 0.651
O1 0.039 0.185 0.292
O2 0.197 0.988 0.812
O3 0.673 0.449 0.671
O4 0.611 0.952 0.032

=====

6.
First-principles (GGA-PBE) data for LiTmAl6 after structural relaxation, as listed in Alexandria via LeMat-Bulk.

Calculated values
- Space-group type: P4/mmm, No. 123
- Final energy: -30.57 eV per cell
- Size of the total moment: 0.00 μB/f.u.
- Fermi-level density of states: 0.27 states/eV per atom
- ΔE_f: -217 meV per atom

a = 4.153 Å, b = 5.871 Å, c = 5.871 Å
α = 90.00°, β = 90.00°, γ = 90.00°
Element x y z (fractional)
Li1 0.500 0.500 0.500
Tm1 0.500 0.000 0.000
Al1 0.000 0.742 0.258
Al2 0.000 0.258 0.742
Al3 0.000 0.742 0.742
Al4 0.000 0.258 0.258
Al5 0.500 0.500 0.000
Al6 0.500 0.000 0.500

=====

7.
First-principles (GGA-PBE) data for TlPbAu after structural relaxation, as listed in Alexandria via LeMat-Bulk.

Calculated values
- Space-group type: P2/m, No. 10
- Final energy: -18.72 eV per cell
- Size of the total moment: 0.00 μB/f.u.
- Fermi-level density of states: 0.46 states/eV per atom
- ΔE_f: -2 meV per atom

a = 3.588 Å, b = 3.633 Å, c = 12.773 Å
α = 106.76°, β = 90.00°, γ = 90.00°
Element x y z (fractional)
Pb1 0.406 0.265 0.349
Pb2 0.407 0.677 0.760
Tl1 0.406 0.971 0.054
Tl2 0.907 0.971 0.554
Au1 0.907 0.317 0.898
Au2 0.906 0.626 0.210

=====

8.
First-principles (GGA-PBE) data for NbTe3H after structural relaxation, as listed in Alexandria via LeMat-Bulk.

Calculated values
- Space-group type: C2/c, No. 15
- Final energy: -94.14 eV per cell
- Size of the total moment: 0.00 μB/f.u.
- Fermi-level density of states: 0.41 states/eV per atom
- Energy above the most stable polymorph in this dataset: 0 meV per atom

a = 6.349 Å, b = 9.235 Å, c = 9.235 Å
α = 76.84°, β = 98.65°, γ = 98.65°
Element x y z (fractional)
Nb1 0.250 0.780 0.220
Nb2 0.250 0.064 0.936
Nb3 0.750 0.220 0.780
Nb4 0.750 0.936 0.064
Te1 0.630 0.225 0.052
Te2 0.130 0.052 0.225
Te3 0.870 0.948 0.775
Te4 0.370 0.775 0.948
Te5 0.916 0.342 0.502
Te6 0.416 0.502 0.342
Te7 0.584 0.498 0.658
Te8 0.084 0.658 0.498
Te9 0.866 0.641 0.092
Te10 0.366 0.092 0.641
Te11 0.634 0.908 0.359
Te12 0.134 0.359 0.908
H1 0.681 0.559 0.237
H2 0.181 0.237 0.559
H3 0.819 0.763 0.441
H4 0.319 0.441 0.763

=====

Number 1: calculated volume 17.6 Å³/atom. Number 2: calculated volume 28.1 Å³/atom. Number 3: calculated volume 21.7 Å³/atom. Number 4: calculated volume 25.9 Å³/atom. Number 5: calculated volume 22.5 Å³/atom. Number 6: calculated volume 17.9 Å³/atom. Number 7: calculated volume 26.6 Å³/atom. Number 8: calculated volume 25.9 Å³/atom.